No. 1
# CdCoMo

A geometry-optimized CdCoMo structure (PBE, Alexandria via LeMat-Bulk).

The structure belongs to space group P3m1 (No. 156); the cell edges are 2.8055, 2.8055 and 6.8872 Å and the angles 90.00°, 90.00° and 120.00°. The asymmetric unit holds Cd at (0.0000, 0.0000, 0.0000), Co at (0.6667, 0.3333, 0.3377) and Mo at (0.3333, 0.6667, 0.6194).

Its density of states at the Fermi level is 1.04 states/eV per atom. The calculation puts the energy at -5.93 eV/atom. The calculation puts the energy relative to the elements at 0.356 eV/atom.

***

No. 2
# Ca2ScSb

A geometry-optimized Ca2ScSb structure (PBE, Alexandria via LeMat-Bulk).

The structure belongs to space group C2/m (No. 12); the cell edges are 6.5850, 10.3058 and 3.4700 Å and the angles 90.00°, 90.16° and 90.00°. The asymmetric unit holds Ca at (0.2500, 0.2500, 0.0000), Sc at (0.0000, 0.0000, 0.5000) and Sb at (0.0000, 0.5000, 0.5000).

The uncorrected formation energy is -24.3 kJ per mole of atoms. Its density of states at the Fermi level is 0.66 states/eV per atom. The calculation puts the energy at -3.87 eV/atom.

***

No. 3
# Zr2CuBr

A geometry-optimized Zr2CuBr structure (PBE, Alexandria via LeMat-Bulk).

The structure belongs to space group R-3m (No. 166, hexagonal axes); the cell edges are 3.2952, 3.2952 and 25.9503 Å and the angles 90.00°, 90.00° and 120.00°. The asymmetric unit holds Zr at (0.0000, 0.0000, 0.2438), Cu at (0.0000, 0.0000, 0.5000) and Br at (0.0000, 0.0000, 0.0000).

The uncorrected formation energy is -12.7 kJ per mole of atoms. Its density of states at the Fermi level is 0.60 states/eV per atom. The calculation puts the energy at -5.85 eV/atom.

***

No. 4
# LiPr2Ge2

A geometry-optimized LiPr2Ge2 structure (PBE, Alexandria via LeMat-Bulk).

The structure belongs to space group C2/m (No. 12); the cell edges are 11.2400, 4.4569 and 10.8149 Å and the angles 90.00°, 118.48° and 90.00°. The asymmetric unit holds Li at (0.2277, 0.0000, 0.3672), Pr at (0.0107, 0.5000, 0.3296), Pr at (0.1894, 0.5000, 0.0995), Ge at (0.0115, 0.0000, 0.8843) and Ge at (0.1327, 0.0000, 0.5728).

Its density of states at the Fermi level is 0.41 states/eV per atom. The calculation puts the energy at -4.84 eV/atom. The calculation puts the energy relative to the elements at -0.700 eV/atom.

***

No. 5
# BiAu

A geometry-optimized BiAu structure (PBE, Alexandria via LeMat-Bulk).

The structure belongs to space group P4_2/mnm (No. 136); the cell edges are 7.4054, 7.4054 and 4.9176 Å and the angles 90.00°, 90.00° and 90.00°. The asymmetric unit holds Bi at (0.2233, 0.2233, 0.0000) and Au at (0.1499, 0.8501, 0.0000).

Its density of states at the Fermi level is 0.82 states/eV per atom. The calculation puts the energy at -3.37 eV/atom. The calculation puts the energy relative to the elements at 0.205 eV/atom.

***

No. 6
# Ba2TiAg

A geometry-optimized Ba2TiAg structure (PBE, Alexandria via LeMat-Bulk).

The structure belongs to space group I-42d (No. 122); the cell edges are 9.2093, 9.2093 and 6.9814 Å and the angles 90.00°, 90.00° and 90.00°. The asymmetric unit holds Ba at (0.2233, 0.7500, 0.1250), Ti at (0.0000, 0.0000, 0.5000) and Ag at (0.0000, 0.0000, 0.0000).

Its density of states at the Fermi level is 1.98 states/eV per atom. The calculation puts the energy at -3.02 eV/atom. The calculation puts the energy relative to the elements at 0.630 eV/atom.

***

No. 7
# Ce3AuS6

A geometry-optimized Ce3AuS6 structure (PBE, Alexandria via LeMat-Bulk).

The structure belongs to space group Cmc2_1 (No. 36); the cell edges are 10.8515, 13.4148 and 6.5663 Å and the angles 90.00°, 90.00° and 90.00°. The asymmetric unit holds Ce at (0.0000, 0.1085, 0.0000), Ce at (0.1795, 0.3966, 0.0863), Au at (0.0000, 0.3023, 0.6369), S at (0.0000, 0.2767, 0.2643), S at (0.0000, 0.4728, 0.7994), S at (0.1612, 0.0267, 0.2917) and S at (0.1799, 0.2283, 0.8310).

The uncorrected formation energy is -151.4 kJ per mole of atoms. Its density of states at the Fermi level is 1.22 states/eV per atom. The calculation puts the energy at -6.15 eV/atom.

***

No. 8
# BiPdPtPb

A geometry-optimized BiPdPtPb structure (PBE, Alexandria via LeMat-Bulk).

The structure belongs to space group F-43m (No. 216); the cell edges are 7.0096, 7.0096 and 7.0096 Å and the angles 90.00°, 90.00° and 90.00°. The asymmetric unit holds Bi at (0.0000, 0.0000, 0.0000), Pd at (0.2500, 0.2500, 0.2500), Pt at (0.2500, 0.2500, 0.7500) and Pb at (0.0000, 0.0000, 0.5000).

Its density of states at the Fermi level is 0.76 states/eV per atom. The calculation puts the energy at -4.82 eV/atom. The calculation puts the energy relative to the elements at -0.118 eV/atom.